Computed, not measured: an optimized crystal structure of LaPuPa at the PBE-GGA level of DFT.

E ... -9.2983 eV per atom
Crystal system ... hexagonal
Polymorph energy (0 for the lowest one) ... 145.3 meV per atom
DFT formation energy ... 286.8 meV per atom

```
data_LaPuPa
_space_group_name_H-M_alt 'P -6 m 2'
_space_group_IT_number 187
_space_group_name_Hall 'P -6 2'
_cell_length_a 5.3514
_cell_length_b 5.3514
_cell_length_c 3.3720
_cell_angle_alpha 90.00
_cell_angle_beta 90.00
_cell_angle_gamma 120.00
loop_
_atom_site_label
_atom_site_type_symbol
_atom_site_fract_x
_atom_site_fract_y
_atom_site_fract_z
La1 La 0.0000 0.0000 0.0000
Pu1 Pu 0.6667 0.3333 0.5000
Pa1 Pa 0.3333 0.6667 0.5000
```


Computed, not measured: an optimized crystal structure of La2PuPa2Rh5 at the PBE-GGA level of DFT.

E ... -8.5600 eV per atom
Crystal system ... tetragonal
DFT formation energy ... -566.4 meV per atom

```
data_La2PuPa2Rh5
_space_group_name_H-M_alt 'P 4/m b m'
_space_group_IT_number 127
_space_group_name_Hall '-P 4 2ab'
_cell_length_a 11.156
_cell_length_b 11.156
_cell_length_c 3.553
_cell_angle_alpha 90.00
_cell_angle_beta 90.00
_cell_angle_gamma 90.00
loop_
_atom_site_label
_atom_site_type_symbol
_atom_site_fract_x
_atom_site_fract_y
_atom_site_fract_z
La1 La 0.166 0.334 0.000
Pu1 Pu 0.000 0.000 0.000
Pa1 Pa 0.142 0.642 0.000
Rh1 Rh 0.000 0.500 0.500
Rh2 Rh 0.064 0.806 0.500
```


Computed, not measured: an optimized crystal structure of La2PuPa2Ru5 at the PBE-GGA level of DFT.

E ... -9.1614 eV per atom
Crystal system ... tetragonal
DFT formation energy ... -205.6 meV per atom

```
data_La2PuPa2Ru5
_space_group_name_H-M_alt 'P 4/m b m'
_space_group_IT_number 127
_space_group_name_Hall '-P 4 2ab'
_cell_length_a 10.882
_cell_length_b 10.882
_cell_length_c 3.602
_cell_angle_alpha 90.00
_cell_angle_beta 90.00
_cell_angle_gamma 90.00
loop_
_atom_site_label
_atom_site_type_symbol
_atom_site_fract_x
_atom_site_fract_y
_atom_site_fract_z
La1 La 0.174 0.326 0.000
Pu1 Pu 0.000 0.000 0.000
Pa1 Pa 0.139 0.639 0.000
Ru1 Ru 0.000 0.500 0.500
Ru2 Ru 0.048 0.796 0.500
```


Computed, not measured: an optimized crystal structure of La2PuPaRu2 at the PBE-GGA level of DFT.

E ... -8.9540 eV per atom
Crystal system ... orthorhombic
DFT formation energy ... -248.3 meV per atom

```
data_La2PuPaRu2
_space_group_name_H-M_alt 'I b a m'
_space_group_IT_number 72
_space_group_name_Hall '-I 2 2c'
_cell_length_a 7.331
_cell_length_b 12.440
_cell_length_c 7.134
_cell_angle_alpha 90.00
_cell_angle_beta 90.00
_cell_angle_gamma 90.00
loop_
_atom_site_label
_atom_site_type_symbol
_atom_site_fract_x
_atom_site_fract_y
_atom_site_fract_z
La1 La 0.208 0.192 0.000
Pu1 Pu 0.000 0.000 0.250
Pa1 Pa 0.000 0.500 0.250
Ru1 Ru 0.236 0.431 0.000
```


Computed, not measured: an optimized crystal structure of LaPu2PaS4 at the PBE-GGA level of DFT.

E ... -9.2504 eV per atom
Crystal system ... monoclinic

```
data_LaPu2PaS4
_space_group_name_H-M_alt 'P 1 2/m 1'
_space_group_IT_number 10
_space_group_name_Hall '-P 2y'
_cell_length_a 6.901
_cell_length_b 3.958
_cell_length_c 6.912
_cell_angle_alpha 90.00
_cell_angle_beta 109.20
_cell_angle_gamma 90.00
loop_
_atom_site_label
_atom_site_type_symbol
_atom_site_fract_x
_atom_site_fract_y
_atom_site_fract_z
La1 La 0.000 0.000 0.000
Pu1 Pu 0.500 0.000 0.500
Pu2 Pu 0.500 0.500 0.000
Pa1 Pa 0.000 0.500 0.500
S1 S 0.256 0.000 0.744
S2 S 0.261 0.500 0.262
```


Computed, not measured: an optimized crystal structure of La2PuPaSb4 at the PBE-GGA level of DFT.

E ... -7.1780 eV per atom
Crystal system ... monoclinic

```
data_La2PuPaSb4
_space_group_name_H-M_alt 'P 1 2/m 1'
_space_group_IT_number 10
_space_group_name_Hall '-P 2y'
_cell_length_a 7.787
_cell_length_b 4.503
_cell_length_c 7.838
_cell_angle_alpha 90.00
_cell_angle_beta 109.34
_cell_angle_gamma 90.00
loop_
_atom_site_label
_atom_site_type_symbol
_atom_site_fract_x
_atom_site_fract_y
_atom_site_fract_z
La1 La 0.000 0.000 0.000
La2 La 0.500 0.500 0.000
Pu1 Pu 0.000 0.500 0.500
Pa1 Pa 0.500 0.000 0.500
Sb1 Sb 0.249 0.000 0.736
Sb2 Sb 0.258 0.500 0.265
```


Computed, not measured: an optimized crystal structure of LaTbPuPa at the PBE-GGA level of DFT.

E ... -7.9904 eV per atom
Crystal system ... cubic
DFT formation energy ... 356.0 meV per atom

```
data_LaTbPuPa
_space_group_name_H-M_alt 'F -4 3 m'
_space_group_IT_number 216
_space_group_name_Hall 'F -4 2 3'
_cell_length_a 7.759
_cell_length_b 7.759
_cell_length_c 7.759
_cell_angle_alpha 90.00
_cell_angle_beta 90.00
_cell_angle_gamma 90.00
loop_
_atom_site_label
_atom_site_type_symbol
_atom_site_fract_x
_atom_site_fract_y
_atom_site_fract_z
La1 La 0.000 0.000 0.000
Tb1 Tb 0.250 0.250 0.750
Pu1 Pu 0.000 0.000 0.500
Pa1 Pa 0.250 0.250 0.250
```


Computed, not measured: an optimized crystal structure of LaPuThPa at the PBE-GGA level of DFT.

E ... -8.7127 eV per atom
Crystal system ... cubic
DFT formation energy ... 331.1 meV per atom

```
data_LaPuThPa
_space_group_name_H-M_alt 'F -4 3 m'
_space_group_IT_number 216
_space_group_name_Hall 'F -4 2 3'
_cell_length_a 7.717
_cell_length_b 7.717
_cell_length_c 7.717
_cell_angle_alpha 90.00
_cell_angle_beta 90.00
_cell_angle_gamma 90.00
loop_
_atom_site_label
_atom_site_type_symbol
_atom_site_fract_x
_atom_site_fract_y
_atom_site_fract_z
La1 La 0.000 0.000 0.000
Pu1 Pu 0.000 0.000 0.500
Th1 Th 0.250 0.250 0.750
Pa1 Pa 0.250 0.250 0.250
```


Computed, not measured: an optimized crystal structure of Rb3La2PaS6 at the PBE-GGA level of DFT.

E ... -5.6441 eV per atom
Crystal system ... monoclinic

```
data_Rb3La2PaS6
_space_group_name_H-M_alt 'C 1 2/m 1'
_space_group_IT_number 12
_space_group_name_Hall '-C 2y'
_cell_length_a 7.341
_cell_length_b 12.712
_cell_length_c 8.092
_cell_angle_alpha 90.00
_cell_angle_beta 107.63
_cell_angle_gamma 90.00
loop_
_atom_site_label
_atom_site_type_symbol
_atom_site_fract_x
_atom_site_fract_y
_atom_site_fract_z
Rb1 Rb 0.000 0.000 0.000
Rb2 Rb 0.000 0.331 0.000
La1 La 0.000 0.166 0.500
Pa1 Pa 0.000 0.500 0.500
S1 S 0.225 0.341 0.697
S2 S 0.248 0.000 0.698
```


Computed, not measured: an optimized crystal structure of Rb4La3PaS8 at the PBE-GGA level of DFT.

E ... -5.5887 eV per atom
Crystal system ... trigonal

```
data_Rb4La3PaS8
_space_group_name_H-M_alt 'R -3 m'
_space_group_IT_number 166
_space_group_name_Hall '-R 3 2"'
_cell_length_a 8.5314
_cell_length_b 8.5314
_cell_length_c 23.1111
_cell_angle_alpha 90.00
_cell_angle_beta 90.00
_cell_angle_gamma 120.00
loop_
_atom_site_label
_atom_site_type_symbol
_atom_site_fract_x
_atom_site_fract_y
_atom_site_fract_z
Rb1 Rb 0.0000 0.0000 0.0000
Rb2 Rb 0.0000 0.5000 0.0000
La1 La 0.0000 0.5000 0.5000
Pa1 Pa 0.0000 0.0000 0.5000
S1 S 0.0000 0.0000 0.2337
S2 S 0.0137 0.5069 0.2321
```


Computed, not measured: an optimized crystal structure of Rb3La3PaS8 at the PBE-GGA level of DFT.

E ... -5.8644 eV per atom
Crystal system ... monoclinic

```
data_Rb3La3PaS8
_space_group_name_H-M_alt 'C 1 2/m 1'
_space_group_IT_number 12
_space_group_name_Hall '-C 2y'
_cell_length_a 14.775
_cell_length_b 8.531
_cell_length_c 9.218
_cell_angle_alpha 90.00
_cell_angle_beta 122.35
_cell_angle_gamma 90.00
loop_
_atom_site_label
_atom_site_type_symbol
_atom_site_fract_x
_atom_site_fract_y
_atom_site_fract_z
Rb1 Rb 0.000 0.000 0.000
Rb2 Rb 0.250 0.250 0.000
La1 La 0.000 0.500 0.500
La2 La 0.250 0.250 0.500
Pa1 Pa 0.000 0.000 0.500
S1 S 0.016 0.237 0.313
S2 S 0.220 0.000 0.687
S3 S 0.232 0.500 0.696
```


Computed, not measured: an optimized crystal structure of RbLaPaS4 at the PBE-GGA level of DFT.

E ... -6.2881 eV per atom
Crystal system ... orthorhombic

```
data_RbLaPaS4
_space_group_name_H-M_alt 'I m m a'
_space_group_IT_number 74
_space_group_name_Hall '-I 2b 2'
_cell_length_a 8.392
_cell_length_b 8.855
_cell_length_c 12.421
_cell_angle_alpha 90.00
_cell_angle_beta 90.00
_cell_angle_gamma 90.00
loop_
_atom_site_label
_atom_site_type_symbol
_atom_site_fract_x
_atom_site_fract_y
_atom_site_fract_z
Rb1 Rb 0.000 0.250 0.131
La1 La 0.000 0.000 0.500
Pa1 Pa 0.250 0.250 0.750
S1 S 0.000 0.049 0.733
S2 S 0.220 0.250 0.532
```


Listing ρ for the structures above in their given order: 12.2 11.3 11.6 9.8 9.2 7.9 11.0 12.2 4.4 4.3 3.9 4.2 g/cm3.
Listing magnetization for the structures above in their given order: 6.3 5.2 4.2 6.0 10.9 6.1 8.7 7.1 1.8 1.9 1.0 1.0 μB/f.u..